This record from Alexandria describes crystalline K2VCuF6 at its relaxed geometry. The functional is GGA+U.

a = 5.9581 Å, b = 5.9581 Å, c = 5.8963 Å
α = 119.31°, β = 119.31°, γ = 58.97°
Positions (direct):
K 0.2492 0.2492 0.2479
K 0.7508 0.7508 0.7521
V 0.5000 0.5000 0.0000
Cu 0.0000 0.0000 0.5000
F 0.2611 0.7390 0.2391
F 0.2610 0.7389 0.7609
F 0.2692 0.2692 0.7691
F 0.7308 0.7308 0.2309
F 0.7390 0.2611 0.2391
F 0.7389 0.2610 0.7609

Output
* uncorrected energy: -4.996 eV per atom
* total magnetization: 0.194 μB/atom
* space group: No. 12